The following is a GGA-PBE calculation of a relaxed InBrCl2 crystal, from Alexandria via LeMat-Bulk.

```
InBrCl2
1.0
3.8075 0.0000 0.0000
0.0000 2.5750 6.8531
0.0000 -2.5750 6.8531
In Br Cl
1 1 2
Direct
0.0000 0.0000 0.0000
0.5000 0.1390 0.1390
0.0000 0.4883 0.4883
0.5000 0.8740 0.8740
```

total magnetic moment: 0.000 μB/atom
density of states at the Fermi level: 0.00 states/eV per cell
space group: Amm2
uncorrected formation energy: -0.9347 eV per atom